[1]
CsSrI3 after structural relaxation. Source: Alexandria via LeMat-Bulk, functional PBE.

It has space group P2_1/c (No. 14), with a = 11.6123 Å, b = 8.3361 Å, c = 11.9382 Å, α = 90.00°, β = 113.46° and γ = 90.00°. The distinct sites, in fractional coordinates, are Cs at (0.1164, 0.2330, 0.1377), Sr at (0.4089, 0.7415, 0.8816), I at (0.1182, 0.6905, 0.2045), I at (0.3111, 0.0861, 0.4660) and I at (0.4264, 0.5640, 0.6349).

Its crystal system is monoclinic. As for the magnetic moment: 0.00 μB/cell. For the density of states at the Fermi level, the calculation gives 0.00 states/eV per cell. The total energy comes out at -61.60 eV per cell. The calculation puts the raw formation energy at -1643 meV/atom.

***

[2]
CsSrI3 after structural relaxation. Source: Alexandria via LeMat-Bulk, functional PBE.

It has space group Pnma (No. 62), with a = 10.8921 Å, b = 4.9720 Å, c = 18.3911 Å, α = 90.00°, β = 90.00° and γ = 90.00°. The distinct sites, in fractional coordinates, are Cs at (0.0725, 0.2500, 0.1785), Sr at (0.1695, 0.7500, 0.4436), I at (0.0215, 0.7500, 0.6031), I at (0.1630, 0.7500, 0.0092) and I at (0.2058, 0.2500, 0.7852).

Its crystal system is orthorhombic. As for the magnetic moment: 0.00 μB/cell. For the density of states at the Fermi level, the calculation gives 0.00 states/eV per cell. The total energy comes out at -62.01 eV per cell. The calculation puts the raw formation energy at -1663 meV/atom.

***

[3]
Cs2SrI after structural relaxation. Source: Alexandria via LeMat-Bulk, functional PBE.

It has space group Fm-3m (No. 225), with a = 10.4343 Å, b = 10.4343 Å, c = 10.4343 Å, α = 90.00°, β = 90.00° and γ = 90.00°. The distinct sites, in fractional coordinates, are Cs at (0.2500, 0.2500, 0.2500), Sr at (0.0000, 0.0000, 0.0000) and I at (0.0000, 0.0000, 0.5000).

Its crystal system is cubic. As for the magnetic moment: 3.98 μB/cell. For the density of states at the Fermi level, the calculation gives 13.94 states/eV per cell. The excess energy over the best structure of this formula in the dataset is 24.6 kJ/mol of atoms. The total energy comes out at -24.73 eV per cell. The calculation puts the raw formation energy at -311 meV/atom.

***

[4]
CsSrI3 after structural relaxation. Source: Alexandria via LeMat-Bulk, functional PBE.

It has space group Pm-3m (No. 221), with a = 6.8246 Å, b = 6.8246 Å, c = 6.8246 Å, α = 90.00°, β = 90.00° and γ = 90.00°. The distinct sites, in fractional coordinates, are Cs at (0.0000, 0.0000, 0.0000), Sr at (0.5000, 0.5000, 0.5000) and I at (0.0000, 0.0000, 0.5000).

Its crystal system is cubic. As for the magnetic moment: 0.00 μB/cell. For the density of states at the Fermi level, the calculation gives 0.00 states/eV per cell. The total energy comes out at -11.07 eV per cell. The calculation puts the raw formation energy at -776 meV/atom.

***

[5]
CsSr4I8 after structural relaxation. Source: Alexandria via LeMat-Bulk, functional PBE.

It has space group F-43m (No. 216), with a = 14.4177 Å, b = 14.4177 Å, c = 14.4177 Å, α = 90.00°, β = 90.00° and γ = 90.00°. The distinct sites, in fractional coordinates, are Cs at (0.0000, 0.0000, 0.0000), Sr at (0.1210, 0.1210, 0.3790), I at (0.1109, 0.1109, 0.6109) and I at (0.1459, 0.1459, 0.1459).

Its crystal system is cubic. As for the magnetic moment: 0.00 μB/cell. For the density of states at the Fermi level, the calculation gives 17.75 states/eV per cell. The excess energy over the best structure of this formula in the dataset is 1.1 kJ/mol of atoms. The total energy comes out at -160.47 eV per cell. The calculation puts the raw formation energy at -1549 meV/atom.

***

[6]
CsSrI3 after structural relaxation. Source: Alexandria via LeMat-Bulk, functional PBE.

It has space group C2/c (No. 15), with a = 18.6330 Å, b = 14.7993 Å, c = 8.6719 Å, α = 90.00°, β = 97.46° and γ = 90.00°. The distinct sites, in fractional coordinates, are Cs at (0.2377, 0.1110, 0.1884), Sr at (0.0000, 0.0843, 0.7500), Sr at (0.0000, 0.4209, 0.7500), I at (0.1004, 0.2519, 0.9131), I at (0.1046, 0.0598, 0.4727) and I at (0.1093, 0.4434, 0.4755).

Its crystal system is monoclinic. As for the magnetic moment: 0.00 μB/cell. For the density of states at the Fermi level, the calculation gives 0.00 states/eV per cell. The total energy comes out at -123.05 eV per cell. The calculation puts the raw formation energy at -1639 meV/atom.

***

[7]
Cs2SrTaI6 after structural relaxation. Source: Alexandria via LeMat-Bulk, functional PBE.

It has space group Fm-3m (No. 225), with a = 12.2374 Å, b = 12.2374 Å, c = 12.2374 Å, α = 90.00°, β = 90.00° and γ = 90.00°. The distinct sites, in fractional coordinates, are Cs at (0.2500, 0.2500, 0.2500), Sr at (0.0000, 0.0000, 0.0000), Ta at (0.0000, 0.0000, 0.5000) and I at (0.0000, 0.0000, 0.2641).

Its crystal system is cubic. As for the magnetic moment: 12.00 μB/cell. For the density of states at the Fermi level, the calculation gives 0.00 states/eV per cell. The total energy comes out at -138.73 eV per cell. The calculation puts the raw formation energy at -1014 meV/atom.

***

[8]
CsSrTbI6 after structural relaxation. Source: Alexandria via LeMat-Bulk, functional PBE.

It has space group P-31c (No. 163), with a = 8.2942 Å, b = 8.2942 Å, c = 16.8661 Å, α = 90.00°, β = 90.00° and γ = 120.00°. The distinct sites, in fractional coordinates, are Cs at (0.0000, 0.0000, 0.0000), Sr at (0.3333, 0.6667, 0.2500), Tb at (0.3333, 0.6667, 0.7500) and I at (0.0218, 0.3839, 0.6427).

Its crystal system is trigonal. As for the magnetic moment: 0.00 μB/cell. For the density of states at the Fermi level, the calculation gives 0.00 states/eV per cell. The total energy comes out at -60.88 eV per cell. The calculation puts the raw formation energy at -1553 meV/atom.

***

[9]
Cs2SrTbI6 after structural relaxation. Source: Alexandria via LeMat-Bulk, functional PBE.

It has space group Pmmn (No. 59, origin choice 2), with a = 8.9026 Å, b = 12.5902 Å, c = 8.8961 Å, α = 90.00°, β = 90.00° and γ = 90.00°. The distinct sites, in fractional coordinates, are Cs at (0.2500, 0.9999, 0.2466), Sr at (0.2500, 0.2500, 0.7474), Tb at (0.2500, 0.7500, 0.7522), I at (0.0059, 0.7500, 0.5095), I at (0.0071, 0.7500, 0.9964) and I at (0.2500, 0.5065, 0.7515).

Its crystal system is orthorhombic. As for the magnetic moment: 1.82 μB/cell. For the density of states at the Fermi level, the calculation gives 9.07 states/eV per cell. The total energy comes out at -63.13 eV per cell. The calculation puts the raw formation energy at -1424 meV/atom.

***

[10]
Cs2SrTcI6 after structural relaxation. Source: Alexandria via LeMat-Bulk, functional PBE.

It has space group Fm-3m (No. 225), with a = 12.0123 Å, b = 12.0123 Å, c = 12.0123 Å, α = 90.00°, β = 90.00° and γ = 90.00°. The distinct sites, in fractional coordinates, are Cs at (0.2500, 0.2500, 0.2500), Sr at (0.0000, 0.0000, 0.0000), Tc at (0.0000, 0.0000, 0.5000) and I at (0.0000, 0.0000, 0.2689).

Its crystal system is cubic. As for the magnetic moment: 4.00 μB/cell. For the density of states at the Fermi level, the calculation gives 34.93 states/eV per cell. The total energy comes out at -130.82 eV per cell. The calculation puts the raw formation energy at -965 meV/atom.

***

[11]
CsSrTeI2 after structural relaxation. Source: Alexandria via LeMat-Bulk, functional PBE.

It has space group P4/mmm (No. 123), with a = 6.4822 Å, b = 6.4822 Å, c = 6.4684 Å, α = 90.00°, β = 90.00° and γ = 90.00°. The distinct sites, in fractional coordinates, are Cs at (0.0000, 0.0000, 0.0000), Sr at (0.5000, 0.5000, 0.5000), Te at (0.5000, 0.5000, 0.0000) and I at (0.0000, 0.5000, 0.5000).

Its crystal system is tetragonal. As for the magnetic moment: 1.02 μB/cell. For the density of states at the Fermi level, the calculation gives 5.48 states/eV per cell. The excess energy over the best structure of this formula in the dataset is 0.0 kJ/mol of atoms. The total energy comes out at -14.84 eV per cell. The calculation puts the raw formation energy at -1213 meV/atom.

***

[12]
Cs2SrTeI6 after structural relaxation. Source: Alexandria via LeMat-Bulk, functional PBE.

It has space group I4/mmm (No. 139), with a = 8.7746 Å, b = 8.7746 Å, c = 14.6404 Å, α = 90.00°, β = 90.00° and γ = 90.00°. The distinct sites, in fractional coordinates, are Cs at (0.0000, 0.5000, 0.2500), Sr at (0.0000, 0.0000, 0.0000), Te at (0.0000, 0.0000, 0.5000), I at (0.0000, 0.0000, 0.2183) and I at (0.2372, 0.2372, 0.5000).

Its crystal system is tetragonal. As for the magnetic moment: 0.00 μB/cell. For the density of states at the Fermi level, the calculation gives 0.00 states/eV per cell. The total energy comes out at -52.85 eV per cell. The calculation puts the raw formation energy at -1059 meV/atom.

***

[13]
CsSrTeI2 after structural relaxation. Source: Alexandria via LeMat-Bulk, functional PBE.

It has space group P4/mmm (No. 123), with a = 6.7286 Å, b = 6.7286 Å, c = 6.2398 Å, α = 90.00°, β = 90.00° and γ = 90.00°. The distinct sites, in fractional coordinates, are Cs at (0.0000, 0.0000, 0.0000), Sr at (0.5000, 0.5000, 0.5000), Te at (0.0000, 0.0000, 0.5000) and I at (0.0000, 0.5000, 0.0000).

Its crystal system is tetragonal. As for the magnetic moment: 0.00 μB/cell. For the density of states at the Fermi level, the calculation gives 2.26 states/eV per cell. The excess energy over the best structure of this formula in the dataset is 73.5 kJ/mol of atoms. The total energy comes out at -11.03 eV per cell. The calculation puts the raw formation energy at -451 meV/atom.

***

[14]
CsSrTeI after structural relaxation. Source: Alexandria via LeMat-Bulk, functional PBE.

It has space group R3m (No. 160, hexagonal axes), with a = 4.9433 Å, b = 4.9433 Å, c = 27.1017 Å, α = 90.00°, β = 90.00° and γ = 120.00°. The distinct sites, in fractional coordinates, are Cs at (0.0000, 0.0000, 0.0000), Sr at (0.0000, 0.0000, 0.8166), Te at (0.0000, 0.0000, 0.4245) and I at (0.0000, 0.0000, 0.2278).

Its crystal system is trigonal. As for the magnetic moment: 0.00 μB/cell. For the density of states at the Fermi level, the calculation gives 0.00 states/eV per cell. The total energy comes out at -40.07 eV per cell. The calculation puts the raw formation energy at -1533 meV/atom.

***

[15]
CsSrTe2I after structural relaxation. Source: Alexandria via LeMat-Bulk, functional PBE.

It has space group P4/mmm (No. 123), with a = 6.2620 Å, b = 6.2620 Å, c = 6.7094 Å, α = 90.00°, β = 90.00° and γ = 90.00°. The distinct sites, in fractional coordinates, are Cs at (0.0000, 0.0000, 0.0000), Sr at (0.5000, 0.5000, 0.5000), Te at (0.0000, 0.5000, 0.0000) and I at (0.0000, 0.0000, 0.5000).

Its crystal system is tetragonal. As for the magnetic moment: 0.28 μB/cell. For the density of states at the Fermi level, the calculation gives 3.68 states/eV per cell. The excess energy over the best structure of this formula in the dataset is 69.5 kJ/mol of atoms. The total energy comes out at -11.07 eV per cell. The calculation puts the raw formation energy at -141 meV/atom.

***

[16]
CsSrTe2I after structural relaxation. Source: Alexandria via LeMat-Bulk, functional PBE.

It has space group P4/mmm (No. 123), with a = 6.3541 Å, b = 6.3541 Å, c = 6.5397 Å, α = 90.00°, β = 90.00° and γ = 90.00°. The distinct sites, in fractional coordinates, are Cs at (0.0000, 0.0000, 0.0000), Sr at (0.5000, 0.5000, 0.5000), Te at (0.0000, 0.5000, 0.5000) and I at (0.5000, 0.5000, 0.0000).

Its crystal system is tetragonal. As for the magnetic moment: 1.53 μB/cell. For the density of states at the Fermi level, the calculation gives 7.14 states/eV per cell. The excess energy over the best structure of this formula in the dataset is 0.0 kJ/mol of atoms. The total energy comes out at -14.67 eV per cell. The calculation puts the raw formation energy at -861 meV/atom.

***

[17]
CsSr2TlI6 after structural relaxation. Source: Alexandria via LeMat-Bulk, functional PBE.

It has space group R3 (No. 146, hexagonal axes), with a = 8.8914 Å, b = 8.8914 Å, c = 22.5103 Å, α = 90.00°, β = 90.00° and γ = 120.00°. The distinct sites, in fractional coordinates, are Cs at (0.0000, 0.0000, 0.0000), Sr at (0.0000, 0.0000, 0.2719), Sr at (0.0000, 0.0000, 0.7785), Tl at (0.0000, 0.0000, 0.4760), I at (0.0089, 0.3916, 0.5306) and I at (0.0150, 0.5862, 0.0332).

Its crystal system is trigonal. As for the magnetic moment: 0.00 μB/cell. For the density of states at the Fermi level, the calculation gives 0.00 states/eV per cell. The total energy comes out at -91.40 eV per cell. The calculation puts the raw formation energy at -1458 meV/atom.

***

[18]
CsSrTlI4 after structural relaxation. Source: Alexandria via LeMat-Bulk, functional PBE.

It has space group I4mm (No. 107), with a = 6.4271 Å, b = 6.4271 Å, c = 18.6182 Å, α = 90.00°, β = 90.00° and γ = 90.00°. The distinct sites, in fractional coordinates, are Cs at (0.0000, 0.0000, 0.0000), Sr at (0.0000, 0.0000, 0.3673), Tl at (0.0000, 0.0000, 0.7220), I at (0.0000, 0.0000, 0.1964), I at (0.0000, 0.0000, 0.5458) and I at (0.0000, 0.5000, 0.3652).

Its crystal system is tetragonal. As for the magnetic moment: 0.00 μB/cell. For the density of states at the Fermi level, the calculation gives 0.00 states/eV per cell. The total energy comes out at -40.39 eV per cell. The calculation puts the raw formation energy at -1299 meV/atom.

***

[19]
CsSrV2I8 after structural relaxation. Source: Alexandria via LeMat-Bulk, functional PBE.

It has space group R-3 (No. 148, hexagonal axes), with a = 7.7232 Å, b = 7.7232 Å, c = 33.2154 Å, α = 90.00°, β = 90.00° and γ = 120.00°. The distinct sites, in fractional coordinates, are Cs at (0.0000, 0.0000, 0.0000), Sr at (0.0000, 0.0000, 0.5000), V at (0.0000, 0.0000, 0.2477), I at (0.0000, 0.0000, 0.3262) and I at (0.0083, 0.3255, 0.8930).

Its crystal system is trigonal. As for the magnetic moment: 15.00 μB/cell. For the density of states at the Fermi level, the calculation gives 27.45 states/eV per cell. The total energy comes out at -129.46 eV per cell. The calculation puts the raw formation energy at -832 meV/atom.

***

[20]
CsSrVI6 after structural relaxation. Source: Alexandria via LeMat-Bulk, functional PBE.

It has space group P312 (No. 149), with a = 8.0168 Å, b = 8.0168 Å, c = 8.4217 Å, α = 90.00°, β = 90.00° and γ = 120.00°. The distinct sites, in fractional coordinates, are Cs at (0.0000, 0.0000, 0.0000), Sr at (0.3333, 0.6667, 0.5000), V at (0.6667, 0.3333, 0.5000) and I at (0.3908, 0.0456, 0.6969).

Its crystal system is trigonal. As for the magnetic moment: 2.00 μB/cell. For the density of states at the Fermi level, the calculation gives 10.76 states/eV per cell. The total energy comes out at -30.67 eV per cell. The calculation puts the raw formation energy at -1080 meV/atom.